--- one ---
{
  "formula": "TaAgTe",
  "functional": "PBE",
  "state": "relaxed",
  "lattice": [[4.906, 0.000, 0.000], [-2.453, 4.249, 0.000], [0.000, 0.000, 2.988]],
  "species": ["Ta", "Ag", "Te"],
  "fractional_positions": [[0.000, 0.000, 0.000], [0.667, 0.333, 0.500], [0.333, 0.667, 0.002]],
  "space_group": "P3m1 (156)",
  "magmom_total_mub_per_fu": 0.0,
  "dos_ef_per_ev_atom": 0.909
}


--- two ---
{
  "formula": "TaAgTe",
  "functional": "PBE",
  "state": "relaxed",
  "lattice": [[3.348, 0.000, 0.000], [-1.674, 2.900, 0.000], [0.000, 0.000, 7.033]],
  "species": ["Ta", "Ag", "Te"],
  "fractional_positions": [[0.000, 0.000, 0.000], [0.667, 0.333, 0.688], [0.333, 0.667, 0.279]],
  "space_group": "P3m1 (156)",
  "magmom_total_mub_per_fu": 0.0,
  "dos_ef_per_ev_atom": 0.458
}


--- three ---
{
  "formula": "TaAgTe",
  "functional": "PBE",
  "state": "relaxed",
  "lattice": [[-1.702, 1.702, 5.309], [1.702, -1.702, 5.309], [1.702, 1.702, -5.309]],
  "species": ["Ta", "Ag", "Te"],
  "fractional_positions": [[0.000, 0.000, 0.000], [0.671, 0.671, 0.000], [0.358, 0.358, 0.000]],
  "space_group": "I4mm (107)",
  "magmom_total_mub_per_fu": 0.0,
  "dos_ef_per_ev_atom": 0.524
}


--- four ---
{
  "formula": "TaAgTe",
  "functional": "PBE",
  "state": "relaxed",
  "lattice": [[0.000, 2.476, 7.434], [1.872, 0.000, 7.434], [1.872, 2.476, 0.000]],
  "species": ["Ta", "Ag", "Te"],
  "fractional_positions": [[0.000, 0.000, 0.000], [0.641, 0.641, 0.359], [0.360, 0.360, 0.640]],
  "space_group": "Fmm2 (42)",
  "magmom_total_mub_per_fu": 0.0,
  "dos_ef_per_ev_atom": 0.818
}


Sorted by energy, starting with the most stable: two, three, four, one.


--- one ---
{
  "formula": "TaAgTe",
  "functional": "PBE",
  "state": "relaxed",
  "lattice": [[0.000, 3.296, 3.296], [3.296, 0.000, 3.296], [3.296, 3.296, 0.000]],
  "species": ["Ta", "Ag", "Te"],
  "fractional_positions": [[0.000, 0.000, 0.000], [0.750, 0.750, 0.750], [0.250, 0.250, 0.250]],
  "space_group": "F-43m (216)",
  "magmom_total_mub_per_fu": 1.8,
  "dos_ef_per_ev_atom": 0.753
}


--- two ---
{
  "formula": "TaAgTe",
  "functional": "PBE",
  "state": "relaxed",
  "lattice": [[0.000, 3.257, 3.257], [3.257, 0.000, 3.257], [3.257, 3.257, 0.000]],
  "species": ["Ta", "Ag", "Te"],
  "fractional_positions": [[0.000, 0.000, 0.000], [0.500, 0.500, 0.500], [0.750, 0.750, 0.750]],
  "space_group": "F-43m (216)",
  "magmom_total_mub_per_fu": 0.0,
  "dos_ef_per_ev_atom": 1.020
}


Sorted by energy, starting with the most stable: one, two.


--- one ---
{
  "formula": "Ta3AgTe",
  "functional": "PBE",
  "state": "relaxed",
  "lattice": [[5.001, 0.000, 0.000], [0.000, 5.001, 0.000], [0.000, 0.000, 5.001]],
  "species": ["Ta", "Ta", "Ta", "Ag", "Te"],
  "fractional_positions": [[0.000, 0.000, 0.500], [0.000, 0.500, 0.000], [0.500, 0.000, 0.000], [0.500, 0.500, 0.500], [0.000, 0.000, 0.000]],
  "space_group": "Pm-3m (221)",
  "magmom_total_mub_per_fu": 0.0,
  "dos_ef_per_ev_atom": 1.511
}


--- two ---
{
  "formula": "Ta3AgTe",
  "functional": "PBE",
  "state": "relaxed",
  "lattice": [[4.942, 0.000, 0.000], [0.000, 4.942, 0.000], [0.000, 0.000, 4.942]],
  "species": ["Ta", "Ta", "Ta", "Ag", "Te"],
  "fractional_positions": [[0.000, 0.000, 0.500], [0.000, 0.500, 0.000], [0.500, 0.000, 0.000], [0.000, 0.000, 0.000], [0.500, 0.500, 0.500]],
  "space_group": "Pm-3m (221)",
  "magmom_total_mub_per_fu": 0.0,
  "dos_ef_per_ev_atom": 0.798
}


Sorted by energy, starting with the most stable: two, one.


--- one ---
{
  "formula": "TaAg3Te4",
  "functional": "PBE",
  "state": "relaxed",
  "lattice": [[6.496, 0.000, 0.000], [0.000, 6.496, 0.000], [0.000, 0.000, 6.496]],
  "species": ["Ta", "Ag", "Ag", "Ag", "Te", "Te", "Te", "Te"],
  "fractional_positions": [[0.000, 0.000, 0.000], [0.000, 0.000, 0.500], [0.000, 0.500, 0.000], [0.500, 0.000, 0.000], [0.241, 0.241, 0.241], [0.241, 0.759, 0.759], [0.759, 0.241, 0.759], [0.759, 0.759, 0.241]],
  "space_group": "P-43m (215)",
  "magmom_total_mub_per_fu": 0.0
}


--- two ---
{
  "formula": "TaAg3Te4",
  "functional": "PBE",
  "state": "relaxed",
  "lattice": [[8.943, 0.000, 0.000], [0.000, 7.800, 0.000], [0.000, 0.000, 7.542]],
  "species": ["Ta", "Ta", "Ag", "Ag", "Ag", "Ag", "Ag", "Ag", "Te", "Te", "Te", "Te", "Te", "Te", "Te", "Te"],
  "fractional_positions": [[0.000, 0.174, 0.000], [0.500, 0.826, 0.500], [0.000, 0.846, 0.492], [0.248, 0.673, 0.986], [0.252, 0.327, 0.486], [0.500, 0.154, 0.992], [0.748, 0.327, 0.486], [0.752, 0.673, 0.986], [0.000, 0.175, 0.651], [0.000, 0.856, 0.119], [0.244, 0.332, 0.115], [0.256, 0.668, 0.615], [0.500, 0.144, 0.619], [0.500, 0.825, 0.151], [0.744, 0.668, 0.615], [0.756, 0.332, 0.115]],
  "space_group": "Pmn2_1 (31)",
  "magmom_total_mub_per_fu": 0.0
}


Sorted by energy, starting with the most stable: one, two.


--- one ---
{
  "formula": "TaTi2Ag",
  "functional": "PBE",
  "state": "relaxed",
  "lattice": [[3.236, 0.000, 0.000], [0.000, 3.236, 0.000], [0.000, 0.000, 6.688]],
  "species": ["Ta", "Ti", "Ti", "Ag"],
  "fractional_positions": [[0.000, 0.000, 0.000], [0.500, 0.500, 0.237], [0.500, 0.500, 0.763], [0.000, 0.000, 0.500]],
  "space_group": "P4/mmm (123)",
  "magmom_total_mub_per_fu": 0.0,
  "dos_ef_per_ev_atom": 1.157
}


--- two ---
{
  "formula": "TaTi2Ag",
  "functional": "PBE",
  "state": "relaxed",
  "lattice": [[-1.975, 1.975, 9.536], [1.975, -1.975, 9.536], [1.975, 1.975, -9.536]],
  "species": ["Ta", "Ta", "Ti", "Ti", "Ti", "Ti", "Ag", "Ag"],
  "fractional_positions": [[0.000, 0.000, 0.000], [0.750, 0.250, 0.500], [0.115, 0.625, 0.990], [0.375, 0.365, 0.490], [0.635, 0.125, 0.010], [0.875, 0.885, 0.510], [0.250, 0.750, 0.500], [0.500, 0.500, 0.000]],
  "space_group": "I-42d (122)",
  "magmom_total_mub_per_fu": 0.0,
  "dos_ef_per_ev_atom": 1.097
}


Sorted by energy, starting with the most stable: one, two.


--- one ---
{
  "formula": "TaTl2Ag",
  "functional": "PBE",
  "state": "relaxed",
  "lattice": [[-1.559, 2.545, 5.619], [1.559, -2.545, 5.619], [1.559, 2.545, -5.619]],
  "species": ["Ta", "Tl", "Tl", "Ag"],
  "fractional_positions": [[0.000, 0.000, 0.000], [0.234, 0.734, 0.500], [0.511, 0.511, 0.000], [0.784, 0.284, 0.500]],
  "space_group": "Imm2 (44)",
  "magmom_total_mub_per_fu": 0.0,
  "dos_ef_per_ev_atom": 0.536
}


--- two ---
{
  "formula": "TaTl2Ag",
  "functional": "PBE",
  "state": "relaxed",
  "lattice": [[3.166, 0.000, 0.000], [0.000, 4.418, 0.000], [0.000, 0.000, 6.248]],
  "species": ["Ta", "Tl", "Tl", "Ag"],
  "fractional_positions": [[0.000, 0.000, 0.000], [0.000, 0.000, 0.522], [0.500, 0.500, 0.209], [0.500, 0.500, 0.753]],
  "space_group": "Pmm2 (25)",
  "magmom_total_mub_per_fu": 0.0,
  "dos_ef_per_ev_atom": 0.606
}


Sorted by energy, starting with the most stable: one, two.


--- one ---
{
  "formula": "TaTl2Ag",
  "functional": "PBE",
  "state": "relaxed",
  "lattice": [[3.104, 0.000, 0.000], [0.000, 5.218, 0.000], [0.000, 0.000, 5.283]],
  "species": ["Ta", "Tl", "Tl", "Ag"],
  "fractional_positions": [[0.000, 0.000, 0.000], [0.500, 0.000, 0.495], [0.500, 0.500, 0.942], [0.000, 0.500, 0.423]],
  "space_group": "Pmm2 (25)",
  "magmom_total_mub_per_fu": 0.0,
  "dos_ef_per_ev_atom": 0.393
}


--- two ---
{
  "formula": "TaTl2Ag",
  "functional": "PBE",
  "state": "relaxed",
  "lattice": [[-2.175, 2.175, 9.999], [2.175, -2.175, 9.999], [2.175, 2.175, -9.999]],
  "species": ["Ta", "Ta", "Tl", "Tl", "Tl", "Tl", "Ag", "Ag"],
  "fractional_positions": [[0.000, 0.000, 0.000], [0.750, 0.250, 0.500], [0.118, 0.625, 0.993], [0.375, 0.368, 0.493], [0.632, 0.125, 0.007], [0.875, 0.882, 0.507], [0.250, 0.750, 0.500], [0.500, 0.500, 0.000]],
  "space_group": "I-42d (122)",
  "magmom_total_mub_per_fu": 0.0,
  "dos_ef_per_ev_atom": 1.126
}


Sorted by energy, starting with the most stable: one, two.


--- one ---
{
  "formula": "TaTl2Ag",
  "functional": "PBE",
  "state": "relaxed",
  "lattice": [[-2.188, 2.188, 4.484], [2.188, -2.188, 4.484], [2.188, 2.188, -4.484]],
  "species": ["Ta", "Tl", "Tl", "Ag"],
  "fractional_positions": [[0.000, 0.000, 0.000], [0.250, 0.750, 0.500], [0.750, 0.250, 0.500], [0.500, 0.500, 0.000]],
  "space_group": "I4/mmm (139)",
  "magmom_total_mub_per_fu": 0.3,
  "dos_ef_per_ev_atom": 1.071
}


--- two ---
{
  "formula": "TaTl2Ag",
  "functional": "PBE",
  "state": "relaxed",
  "lattice": [[3.063, 0.000, 0.000], [0.000, 4.187, 0.000], [0.000, 0.000, 6.665]],
  "species": ["Ta", "Tl", "Tl", "Ag"],
  "fractional_positions": [[0.000, 0.000, 0.000], [0.500, 0.500, 0.247], [0.500, 0.500, 0.753], [0.000, 0.000, 0.500]],
  "space_group": "Pmmm (47)",
  "magmom_total_mub_per_fu": 0.0,
  "dos_ef_per_ev_atom": 0.375
}


--- three ---
{
  "formula": "TaTl2Ag",
  "functional": "PBE",
  "state": "relaxed",
  "lattice": [[3.068, 0.000, 0.000], [0.000, 5.206, 0.000], [0.000, 0.000, 5.562]],
  "species": ["Ta", "Tl", "Tl", "Ag"],
  "fractional_positions": [[0.000, 0.000, 0.000], [0.000, 0.500, 0.500], [0.500, 0.500, 0.000], [0.500, 0.000, 0.500]],
  "space_group": "Pmmm (47)",
  "magmom_total_mub_per_fu": 0.1,
  "dos_ef_per_ev_atom": 0.837
}


Sorted by energy, starting with the most stable: two, three, one.


--- one ---
{
  "formula": "TaTl2Ag",
  "functional": "PBE",
  "state": "relaxed",
  "lattice": [[1.779, -2.476, 0.000], [1.779, 2.476, 0.000], [0.000, 0.000, 10.357]],
  "species": ["Ta", "Tl", "Tl", "Ag"],
  "fractional_positions": [[0.000, 0.000, 0.000], [0.000, 0.000, 0.471], [0.500, 0.500, 0.759], [0.500, 0.500, 0.211]],
  "space_group": "Cmm2 (35)",
  "magmom_total_mub_per_fu": 0.0,
  "dos_ef_per_ev_atom": 0.876
}


--- two ---
{
  "formula": "TaTl2Ag",
  "functional": "PBE",
  "state": "relaxed",
  "lattice": [[0.000, 3.553, 3.553], [3.553, 0.000, 3.553], [3.553, 3.553, 0.000]],
  "species": ["Ta", "Tl", "Tl", "Ag"],
  "fractional_positions": [[0.000, 0.000, 0.000], [0.500, 0.500, 0.500], [0.750, 0.750, 0.750], [0.250, 0.250, 0.250]],
  "space_group": "F-43m (216)",
  "magmom_total_mub_per_fu": 1.9,
  "dos_ef_per_ev_atom": 0.864
}


Sorted by energy, starting with the most stable: one, two.


--- one ---
{
  "formula": "TaTl2Ag",
  "functional": "PBE",
  "state": "relaxed",
  "lattice": [[3.226, -4.808, 0.000], [3.226, 4.808, 0.000], [-1.220, 0.000, 2.799]],
  "species": ["Ta", "Tl", "Tl", "Ag"],
  "fractional_positions": [[0.000, 0.000, 0.000], [0.000, 0.500, 0.500], [0.500, 0.000, 0.500], [0.500, 0.500, 0.000]],
  "space_group": "C2/m (12)",
  "magmom_total_mub_per_fu": 0.0,
  "dos_ef_per_ev_atom": 0.453
}


--- two ---
{
  "formula": "TaTl2Ag",
  "functional": "PBE",
  "state": "relaxed",
  "lattice": [[4.557, 0.000, 0.000], [0.000, 4.557, 0.000], [0.000, 0.000, 4.036]],
  "species": ["Ta", "Tl", "Tl", "Ag"],
  "fractional_positions": [[0.000, 0.000, 0.000], [0.000, 0.500, 0.500], [0.500, 0.000, 0.500], [0.500, 0.500, 0.000]],
  "space_group": "P4/mmm (123)",
  "magmom_total_mub_per_fu": 0.0,
  "dos_ef_per_ev_atom": 0.447
}


Sorted by energy, starting with the most stable: one, two.


--- one ---
{
  "formula": "Tm2TaAg",
  "functional": "PBE",
  "state": "relaxed",
  "lattice": [[3.283, 0.000, 0.000], [0.000, 3.283, 0.000], [0.000, 0.000, 8.458]],
  "species": ["Tm", "Tm", "Ta", "Ag"],
  "fractional_positions": [[0.000, 0.000, 0.246], [0.000, 0.000, 0.754], [0.500, 0.500, 0.500], [0.500, 0.500, 0.000]],
  "space_group": "P4/mmm (123)",
  "magmom_total_mub_per_fu": 0.0,
  "dos_ef_per_ev_atom": 1.164
}


--- two ---
{
  "formula": "Tm2TaAg",
  "functional": "PBE",
  "state": "relaxed",
  "lattice": [[1.552, 0.896, 11.157], [-1.552, 0.896, 11.157], [0.000, -1.792, 11.157]],
  "species": ["Tm", "Tm", "Ta", "Ag"],
  "fractional_positions": [[0.089, 0.089, 0.089], [0.911, 0.911, 0.911], [0.000, 0.000, 0.000], [0.500, 0.500, 0.500]],
  "space_group": "R-3m (166)",
  "magmom_total_mub_per_fu": 0.7,
  "dos_ef_per_ev_atom": 1.032
}


Sorted by energy, starting with the most stable: one, two.


--- one ---
{
  "formula": "TaV3Ag",
  "functional": "PBE",
  "state": "relaxed",
  "lattice": [[4.681, 0.000, 0.000], [0.000, 4.681, 0.000], [0.000, 0.000, 4.681]],
  "species": ["Ta", "V", "V", "V", "Ag"],
  "fractional_positions": [[0.000, 0.000, 0.000], [0.000, 0.500, 0.500], [0.500, 0.000, 0.500], [0.500, 0.500, 0.000], [0.500, 0.500, 0.500]],
  "space_group": "Pm-3m (221)",
  "magmom_total_mub_per_fu": 5.9,
  "dos_ef_per_ev_atom": 2.107
}


--- two ---
{
  "formula": "TaV3Ag",
  "functional": "PBE",
  "state": "relaxed",
  "lattice": [[4.650, 0.000, 0.000], [0.000, 4.650, 0.000], [0.000, 0.000, 4.650]],
  "species": ["Ta", "V", "V", "V", "Ag"],
  "fractional_positions": [[0.000, 0.000, 0.000], [0.000, 0.000, 0.500], [0.000, 0.500, 0.000], [0.500, 0.000, 0.000], [0.500, 0.500, 0.500]],
  "space_group": "Pm-3m (221)",
  "magmom_total_mub_per_fu": 2.6,
  "dos_ef_per_ev_atom": 1.265
}


Sorted by energy, starting with the most stable: two, one.